A plane-wave DFT calculation with PBE was carried out for a relaxed structure of BaReRu2F.

abc: 4.3273 4.3273 4.8130
angles: 90.00 90.00 90.00
With the nearest neighbours (Å) after each atom.
Atoms (fractional coordinates):
Ba 0.0000 0.0000 0.0000  2 F 2.41
Re 0.5000 0.5000 0.0000  4 Ba 3.06, 8 Ru 3.24
Ru 0.0000 0.5000 0.5000  2 F 2.16
Ru 0.5000 0.0000 0.5000  2 F 2.16
F 0.0000 0.0000 0.5000  4 Ru 2.16, 2 Ba 2.41

Results
**N(E_F)**: 1.729 states/eV/atom
**E**: -28.972 eV/cell

A plane-wave DFT calculation with PBE was carried out for a relaxed structure of CuNi3Pt6.

abc: 7.1647 4.4610 9.4122
angles: 90.00 110.55 90.00
With the nearest neighbours (Å) after each atom.
Atoms (fractional coordinates):
Cu 0.1043 0.2500 0.0684  8 Pt 2.60-2.71, 2 Cu 2.74, 2 Ni 2.76-2.80
Cu 0.8957 0.7500 0.9316  8 Pt 2.60-2.71, 2 Cu 2.74, 2 Ni 2.76-2.80
Ni 0.1027 0.7500 0.7292  8 Pt 2.60-2.69, 3 Ni 2.68-2.74, 1 Cu 2.80
Ni 0.2961 0.7500 0.5319  11 Pt 2.67-2.76, 1 Ni 2.68
Ni 0.3091 0.2500 0.8694  9 Pt 2.60-2.74, 2 Ni 2.74, 1 Cu 2.76
Ni 0.6909 0.7500 0.1306  9 Pt 2.60-2.74, 2 Ni 2.74, 1 Cu 2.76
Ni 0.7039 0.2500 0.4681  11 Pt 2.67-2.76, 1 Ni 2.68
Ni 0.8973 0.2500 0.2708  8 Pt 2.60-2.69, 3 Ni 2.68-2.74, 1 Cu 2.80
Pt 0.0784 0.7500 0.2244  4 Ni 2.60-2.76, 3 Cu 2.60-2.71, 5 Pt 2.68-2.80
Pt 0.1035 0.2500 0.5710  7 Ni 2.67-2.71, 5 Pt 2.68-2.75
Pt 0.2869 0.7500 0.0219  4 Ni 2.60-2.71, 3 Cu 2.63-2.70, 5 Pt 2.70-2.80
Pt 0.2920 0.2500 0.3647  1 Cu 2.64, 4 Ni 2.65-2.76, 7 Pt 2.72-2.79
Pt 0.4931 0.7500 0.3324  8 Pt 2.71-2.78, 4 Ni 2.72-2.74
Pt 0.4933 0.7500 0.8314  5 Ni 2.62-2.68, 6 Pt 2.70-2.80, 1 Cu 2.70
Pt 0.5067 0.2500 0.1686  5 Ni 2.62-2.68, 6 Pt 2.70-2.80, 1 Cu 2.70
Pt 0.5069 0.2500 0.6676  8 Pt 2.71-2.78, 4 Ni 2.72-2.74
Pt 0.7080 0.7500 0.6353  1 Cu 2.64, 4 Ni 2.65-2.76, 7 Pt 2.72-2.79
Pt 0.7131 0.2500 0.9781  4 Ni 2.60-2.71, 3 Cu 2.63-2.70, 5 Pt 2.70-2.80
Pt 0.8965 0.7500 0.4290  7 Ni 2.67-2.71, 5 Pt 2.68-2.75
Pt 0.9216 0.2500 0.7756  4 Ni 2.60-2.76, 3 Cu 2.60-2.71, 5 Pt 2.68-2.80

Results
**N(E_F)**: 1.714 states/eV/atom
**Energy of formation from the pure elements**: -46 meV per atom

Among the records above, which one has the highest N(E_F)?
BaReRu2F

Which value of N(E_F) does entry 1 give?
1.729 states/eV/atom

Among the records above, which one has the highest N(E_F)?
BaReRu2F